(1)
# La3PmHo2As6, optimized geometry, DFT PBE
data_La3PmHo2As6
_cell_length_a 7.3847
_cell_length_b 12.7900
_cell_length_c 7.3789
_cell_angle_alpha 90.00
_cell_angle_beta 109.48
_cell_angle_gamma 90.00
_space_group_name_H-M_alt 'C 1 2/m 1'
_space_group_IT_number 12
_space_group_name_Hall '-C 2y'
loop_
_atom_site_label
_atom_site_type_symbol
_atom_site_fract_x
_atom_site_fract_y
_atom_site_fract_z
La1 La 0.0000 0.0000 0.0000
La2 La 0.0000 0.3343 0.0000
Pm1 Pm 0.0000 0.5000 0.5000
Ho1 Ho 0.0000 0.1670 0.5000
As1 As 0.2413 0.0000 0.7377
As2 As 0.2485 0.3311 0.7386
# energy of formation from the pure elements: -1.540 eV/atom
# M_tot: 0.000 μB per cell
# crystal system: monoclinic


(2)
# LaPr2HoAs4, optimized geometry, DFT PBE
data_LaPr2HoAs4
_cell_length_a 7.4009
_cell_length_b 4.2795
_cell_length_c 7.4034
_cell_angle_alpha 90.00
_cell_angle_beta 109.43
_cell_angle_gamma 90.00
_space_group_name_H-M_alt 'P 1 2/m 1'
_space_group_IT_number 10
_space_group_name_Hall '-P 2y'
loop_
_atom_site_label
_atom_site_type_symbol
_atom_site_fract_x
_atom_site_fract_y
_atom_site_fract_z
La1 La 0.0000 0.0000 0.0000
Pr1 Pr 0.0000 0.5000 0.5000
Pr2 Pr 0.5000 0.0000 0.5000
Ho1 Ho 0.5000 0.5000 0.0000
As1 As 0.2556 0.5000 0.2471
As2 As 0.2588 0.0000 0.7576
# energy of formation from the pure elements: -1.510 eV/atom
# M_tot: 0.000 μB per cell
# crystal system: monoclinic


(3)
# La2Pr3HoAs6, optimized geometry, DFT PBE
data_La2Pr3HoAs6
_cell_length_a 18.7325
_cell_length_b 4.3014
_cell_length_c 8.5997
_cell_angle_alpha 90.00
_cell_angle_beta 103.32
_cell_angle_gamma 90.00
_space_group_name_H-M_alt 'C 1 2/m 1'
_space_group_IT_number 12
_space_group_name_Hall '-C 2y'
loop_
_atom_site_label
_atom_site_type_symbol
_atom_site_fract_x
_atom_site_fract_y
_atom_site_fract_z
La1 La 0.1651 0.0000 0.3308
Pr1 Pr 0.0000 0.5000 0.5000
Pr2 Pr 0.1669 0.0000 0.8344
Ho1 Ho 0.0000 0.5000 0.0000
As1 As 0.0012 0.0000 0.7593
As2 As 0.1632 0.5000 0.0797
As3 As 0.1662 0.5000 0.5845
# energy of formation from the pure elements: -1.517 eV/atom
# M_tot: 0.000 μB per cell
# crystal system: monoclinic


(4)
# LaPrHo2As4, optimized geometry, DFT PBE
data_LaPrHo2As4
_cell_length_a 7.3037
_cell_length_b 4.2261
_cell_length_c 7.3159
_cell_angle_alpha 90.00
_cell_angle_beta 109.49
_cell_angle_gamma 90.00
_space_group_name_H-M_alt 'P 1 2/m 1'
_space_group_IT_number 10
_space_group_name_Hall '-P 2y'
loop_
_atom_site_label
_atom_site_type_symbol
_atom_site_fract_x
_atom_site_fract_y
_atom_site_fract_z
La1 La 0.0000 0.0000 0.0000
Pr1 Pr 0.0000 0.5000 0.5000
Ho1 Ho 0.5000 0.0000 0.5000
Ho2 Ho 0.5000 0.5000 0.0000
As1 As 0.2632 0.0000 0.7535
As2 As 0.2641 0.5000 0.2555
# energy of formation from the pure elements: -1.522 eV/atom
# M_tot: 0.000 μB per cell
# crystal system: monoclinic


(5)
# La2HoAs4Pt3, optimized geometry, DFT PBE
data_La2HoAs4Pt3
_cell_length_a 4.4891
_cell_length_b 4.4891
_cell_length_c 10.7584
_cell_angle_alpha 90.00
_cell_angle_beta 90.00
_cell_angle_gamma 90.00
_space_group_name_H-M_alt 'P -4 m 2'
_space_group_IT_number 115
_space_group_name_Hall 'P -4 -2'
loop_
_atom_site_label
_atom_site_type_symbol
_atom_site_fract_x
_atom_site_fract_y
_atom_site_fract_z
La1 La 0.0000 0.5000 0.2231
Ho1 Ho 0.0000 0.0000 0.5000
As1 As 0.0000 0.0000 0.0000
As2 As 0.0000 0.5000 0.6528
As3 As 0.5000 0.5000 0.0000
Pt1 Pt 0.0000 0.5000 0.8873
Pt2 Pt 0.5000 0.5000 0.5000
# energy of formation from the pure elements: -1.034 eV/atom
# M_tot: 0.000 μB per cell
# crystal system: tetragonal


(6)
# LaHoPu2As4, optimized geometry, DFT PBE
data_LaHoPu2As4
_cell_length_a 7.2402
_cell_length_b 4.1965
_cell_length_c 7.2598
_cell_angle_alpha 90.00
_cell_angle_beta 109.53
_cell_angle_gamma 90.00
_space_group_name_H-M_alt 'P 1 2/m 1'
_space_group_IT_number 10
_space_group_name_Hall '-P 2y'
loop_
_atom_site_label
_atom_site_type_symbol
_atom_site_fract_x
_atom_site_fract_y
_atom_site_fract_z
La1 La 0.0000 0.0000 0.0000
Ho1 Ho 0.0000 0.5000 0.5000
Pu1 Pu 0.5000 0.0000 0.5000
Pu2 Pu 0.5000 0.5000 0.0000
As1 As 0.2550 0.0000 0.7448
As2 As 0.2605 0.5000 0.2624
# energy of formation from the pure elements: -1.234 eV/atom
# M_tot: 0.148 μB per cell
# crystal system: monoclinic


(7)
# La2HoPuAs4, optimized geometry, DFT PBE
data_La2HoPuAs4
_cell_length_a 7.3441
_cell_length_b 4.2533
_cell_length_c 7.3530
_cell_angle_alpha 90.00
_cell_angle_beta 109.46
_cell_angle_gamma 90.00
_space_group_name_H-M_alt 'P 1 2/m 1'
_space_group_IT_number 10
_space_group_name_Hall '-P 2y'
loop_
_atom_site_label
_atom_site_type_symbol
_atom_site_fract_x
_atom_site_fract_y
_atom_site_fract_z
La1 La 0.0000 0.0000 0.0000
La2 La 0.5000 0.5000 0.0000
Ho1 Ho 0.0000 0.5000 0.5000
Pu1 Pu 0.5000 0.0000 0.5000
As1 As 0.2452 0.0000 0.7348
As2 As 0.2557 0.5000 0.2663
# energy of formation from the pure elements: -1.399 eV/atom
# M_tot: 4.901 μB per cell
# crystal system: monoclinic


(8)
# La2HoAs3Rh4, optimized geometry, DFT PBE
data_La2HoAs3Rh4
_cell_length_a 4.1668
_cell_length_b 4.1668
_cell_length_c 11.4615
_cell_angle_alpha 90.00
_cell_angle_beta 90.00
_cell_angle_gamma 90.00
_space_group_name_H-M_alt 'P -4 m 2'
_space_group_IT_number 115
_space_group_name_Hall 'P -4 -2'
loop_
_atom_site_label
_atom_site_type_symbol
_atom_site_fract_x
_atom_site_fract_y
_atom_site_fract_z
La1 La 0.0000 0.5000 0.2291
Ho1 Ho 0.0000 0.0000 0.5000
As1 As 0.0000 0.5000 0.8740
As2 As 0.5000 0.5000 0.5000
Rh1 Rh 0.0000 0.0000 0.0000
Rh2 Rh 0.0000 0.5000 0.6591
Rh3 Rh 0.5000 0.5000 0.0000
# energy of formation from the pure elements: -1.007 eV/atom
# M_tot: 0.002 μB per cell
# crystal system: tetragonal


(9)
# La2HoAs3Rh12, optimized geometry, DFT PBE
data_La2HoAs3Rh12
_cell_length_a 9.1219
_cell_length_b 9.1219
_cell_length_c 13.1310
_cell_angle_alpha 90.00
_cell_angle_beta 90.00
_cell_angle_gamma 120.00
_space_group_name_H-M_alt 'R -3 m'
_space_group_IT_number 166
_space_group_name_Hall '-R 3 2"'
loop_
_atom_site_label
_atom_site_type_symbol
_atom_site_fract_x
_atom_site_fract_y
_atom_site_fract_z
La1 La 0.0000 0.0000 0.1356
Ho1 Ho 0.0000 0.0000 0.5000
As1 As 0.0000 0.5000 0.0000
Rh1 Rh 0.0078 0.5039 0.8180
Rh2 Rh 0.0181 0.5091 0.3833
# energy of formation from the pure elements: -0.323 eV/atom
# M_tot: 0.000 μB per cell
# crystal system: trigonal


(10)
# La2HoAs4Rh3, optimized geometry, DFT PBE
data_La2HoAs4Rh3
_cell_length_a 4.3660
_cell_length_b 4.3660
_cell_length_c 10.8866
_cell_angle_alpha 90.00
_cell_angle_beta 90.00
_cell_angle_gamma 90.00
_space_group_name_H-M_alt 'P -4 m 2'
_space_group_IT_number 115
_space_group_name_Hall 'P -4 -2'
loop_
_atom_site_label
_atom_site_type_symbol
_atom_site_fract_x
_atom_site_fract_y
_atom_site_fract_z
La1 La 0.0000 0.5000 0.2228
Ho1 Ho 0.0000 0.0000 0.5000
As1 As 0.0000 0.0000 0.0000
As2 As 0.0000 0.5000 0.6608
As3 As 0.5000 0.5000 0.0000
Rh1 Rh 0.0000 0.5000 0.8913
Rh2 Rh 0.5000 0.5000 0.5000
# energy of formation from the pure elements: -1.038 eV/atom
# M_tot: 0.000 μB per cell
# crystal system: tetragonal


(11)
# LaHoSbAs, optimized geometry, DFT PBE
data_LaHoSbAs
_cell_length_a 4.3589
_cell_length_b 4.3589
_cell_length_c 21.4724
_cell_angle_alpha 90.00
_cell_angle_beta 90.00
_cell_angle_gamma 120.00
_space_group_name_H-M_alt 'R 3 m'
_space_group_IT_number 160
_space_group_name_Hall 'R 3 -2"'
loop_
_atom_site_label
_atom_site_type_symbol
_atom_site_fract_x
_atom_site_fract_y
_atom_site_fract_z
La1 La 0.0000 0.0000 0.0000
Ho1 Ho 0.0000 0.0000 0.4892
Sb1 Sb 0.0000 0.0000 0.2394
As1 As 0.0000 0.0000 0.7489
# raw total energy: -5.918 eV/atom
# M_tot: 0.000 μB per cell
# crystal system: trigonal


(12)
# LaHo2ScAs4, optimized geometry, DFT PBE
data_LaHo2ScAs4
_cell_length_a 7.1321
_cell_length_b 4.1309
_cell_length_c 7.1471
_cell_angle_alpha 90.00
_cell_angle_beta 109.40
_cell_angle_gamma 90.00
_space_group_name_H-M_alt 'P 1 2/m 1'
_space_group_IT_number 10
_space_group_name_Hall '-P 2y'
loop_
_atom_site_label
_atom_site_type_symbol
_atom_site_fract_x
_atom_site_fract_y
_atom_site_fract_z
La1 La 0.0000 0.0000 0.0000
Ho1 Ho 0.0000 0.5000 0.5000
Ho2 Ho 0.5000 0.0000 0.5000
Sc1 Sc 0.5000 0.5000 0.0000
As1 As 0.2632 0.0000 0.7536
As2 As 0.2643 0.5000 0.2558
# energy of formation from the pure elements: -1.450 eV/atom
# M_tot: 0.000 μB per cell
# crystal system: monoclinic